1.
Here is an optimized crystal structure of Sm3DyTe4 from the Alexandria database. Energies are from PBE-GGA.

Lattice parameters (Å, degrees): 4.368 7.690 7.690 108.85 90.00 90.00
Fractional coordinates of all 8 atoms:
1 Sm 0.000 0.500 0.000
2 Sm 0.000 0.000 0.500
3 Sm 0.500 0.500 0.500
4 Te 0.500 0.247 0.753
5 Te 0.000 0.245 0.245
6 Te 0.500 0.753 0.247
7 Te 0.000 0.755 0.755
8 Dy 0.500 0.000 0.000

formation energy (no corrections) = -10.84 eV per formula unit
ρ = 7.63 g/cm3
crystal system = orthorhombic

---

2.
Here is an optimized crystal structure of PmIn6S8 from the Alexandria database. Energies are from PBE-GGA.

Lattice parameters (Å, degrees): 7.209 7.209 7.209 94.84 94.84 94.84
Fractional coordinates of all 15 atoms:
1 S 0.173 0.639 0.903
2 S 0.903 0.173 0.639
3 S 0.827 0.361 0.097
4 S 0.361 0.097 0.827
5 S 0.097 0.827 0.361
6 S 0.259 0.259 0.259
7 S 0.639 0.903 0.173
8 S 0.741 0.741 0.741
9 In 0.380 0.772 0.663
10 In 0.772 0.663 0.380
11 In 0.663 0.380 0.772
12 In 0.228 0.337 0.620
13 In 0.620 0.228 0.337
14 In 0.337 0.620 0.228
15 Pm 0.000 0.000 0.000

formation energy (no corrections) = -7.96 eV per formula unit
ρ = 4.89 g/cm3
crystal system = trigonal

---

- What is the formula in the second record?
  PmIn6S8

---

Please write out number 1 again, unchanged.
Here is an optimized crystal structure of Sm3DyTe4 from the Alexandria database. Energies are from PBE-GGA.

Lattice parameters (Å, degrees): 4.368 7.690 7.690 108.85 90.00 90.00
Fractional coordinates of all 8 atoms:
1 Sm 0.000 0.500 0.000
2 Sm 0.000 0.000 0.500
3 Sm 0.500 0.500 0.500
4 Te 0.500 0.247 0.753
5 Te 0.000 0.245 0.245
6 Te 0.500 0.753 0.247
7 Te 0.000 0.755 0.755
8 Dy 0.500 0.000 0.000

formation energy (no corrections) = -10.84 eV per formula unit
ρ = 7.63 g/cm3
crystal system = orthorhombic

---

- Which value of formation energy (no corrections) does entry 2 give?
  -7.96 eV per formula unit